1.
Entry from the Alexandria database: an optimized crystal structure of LiZnHg3 (PBE).

Summary:
As for the energy of formation from the pure elements: -2.71 kcal/mol of atoms. The total energy is -0.936 eV per atom. As for the space-group type: P-1, No. 2. The energy above the lowest structure with this stoichiometry is 0.00 kJ per mole of atoms.

Cell and atoms, written as extended XYZ:
```
10
Lattice="0.867 4.187 -1.793 -3.076 1.883 2.888 7.109 3.720 5.741" Properties=species:S:1:pos:R:3 pbc="T T T"
Li 6.354 5.814 6.033
Li 1.824 4.150 5.933
Zn 5.243 8.824 6.578
Zn 3.804 5.334 3.596
Hg 2.104 2.978 3.253
Hg 5.521 7.660 3.922
Hg 0.999 5.992 3.827
Hg 0.936 4.439 0.607
Hg -1.035 3.268 2.972
Hg 3.525 6.494 6.252
```

---

2.
Entry from the Alexandria database: an optimized crystal structure of LaTb3Th4 (PBE).

Summary:
As for the energy of formation from the pure elements: 7.07 kcal/mol of atoms. The total energy is -5.756 eV per atom. As for the space-group type: C2/m, No. 12.

Cell and atoms, written as extended XYZ:
```
8
Lattice="-2.389 2.463 0.500 -2.906 -4.391 7.741 8.128 5.342 0.491" Properties=species:S:1:pos:R:3 pbc="T T T"
Tb -1.453 -2.195 3.870
Tb 2.010 1.610 1.671
Tb 0.822 1.805 7.060
Th 3.248 2.206 4.645
Th -0.415 1.209 4.086
Th -1.565 -0.490 6.958
Th 4.397 3.905 1.774
La -1.195 1.232 0.250
```

---

3.
Entry from the Alexandria database: an optimized crystal structure of SrO (PBE).

Summary:
As for the formation energy without anion corrections: -2.605 eV/atom. The total energy is -5.925 eV per atom. As for the space-group type: P4_2/mnm, No. 136.

Cell and atoms, written as extended XYZ:
```
8
Lattice="6.729 0.000 0.000 0.000 6.729 0.000 0.000 0.000 4.090" Properties=species:S:1:pos:R:3 pbc="T T T"
Sr 2.125 2.125 0.000
Sr 5.489 1.239 2.045
Sr 1.239 5.489 2.045
Sr 4.604 4.604 0.000
O 2.158 4.571 0.000
O 5.522 5.522 2.045
O 1.206 1.206 2.045
O 4.571 2.158 0.000
```

---

no.,M_tot (μB/f.u.)
1,0.00
2,0.00
3,0.00